[1]
A geometry-optimized CaY4 structure. Source: the Alexandria database, functional GGA-PBE.

Computed properties:
**E_form**: 0.5 eV/f.u.
**Magnetization**: 0.00 μB/f.u.
**DFT total energy**: -0.201 Ha/atom

Cell lengths 6.264, 6.264, 6.264 Å; angles 99.78, 99.78, 131.32 degrees
Fractional positions:
Ca: 0.000 0.000 0.000
Y: 0.193 0.597 0.791
Y: 0.403 0.193 0.596
Y: 0.597 0.807 0.404
Y: 0.807 0.403 0.209

[2]
A geometry-optimized CaY7 structure. Source: the Alexandria database, functional GGA-PBE.

Computed properties:
**E_form**: 0.6 eV/f.u.
**Magnetization**: 0.00 μB/f.u.
**DFT total energy**: -0.214 Ha/atom

Cell lengths 7.206, 7.206, 7.206 Å; angles 60.00, 60.00, 60.00 degrees
Fractional positions:
Ca: 0.000 0.000 0.000
Y: 0.000 0.000 0.500
Y: 0.000 0.500 0.000
Y: 0.000 0.500 0.500
Y: 0.500 0.000 0.000
Y: 0.500 0.000 0.500
Y: 0.500 0.500 0.000
Y: 0.500 0.500 0.500

[3]
A geometry-optimized Ca2Y structure. Source: the Alexandria database, functional GGA-PBE.

Computed properties:
**E_form**: 0.3 eV/f.u.
**Magnetization**: 0.87 μB/f.u.
**DFT total energy**: -0.125 Ha/atom

Cell lengths 7.255, 7.255, 9.059 Å; angles 105.71, 105.71, 29.88 degrees
Fractional positions:
Ca: 0.000 0.000 0.000
Ca: 0.055 0.055 0.605
Ca: 0.383 0.383 0.282
Ca: 0.724 0.724 0.937
Y: 0.328 0.328 0.652
Y: 0.669 0.669 0.346

[4]
A geometry-optimized Ca2Y structure. Source: the Alexandria database, functional GGA-PBE.

Computed properties:
**E_form**: 0.3 eV/f.u.
**Magnetization**: 1.06 μB/f.u.
**DFT total energy**: -0.124 Ha/atom

Cell lengths 8.529, 8.529, 8.529 Å; angles 154.50, 154.50, 36.38 degrees
Fractional positions:
Ca: 0.160 0.160 0.000
Ca: 0.840 0.840 0.000
Y: 0.500 0.500 0.000

[5]
A geometry-optimized Ca2Y structure. Source: the Alexandria database, functional GGA-PBE.

Computed properties:
**E_form**: 0.4 eV/f.u.
**Magnetization**: 0.00 μB/f.u.
**DFT total energy**: -0.123 Ha/atom

Cell lengths 6.549, 6.549, 6.549 Å; angles 147.73, 129.68, 61.05 degrees
Fractional positions:
Ca: 0.162 0.162 0.000
Ca: 0.838 0.838 0.000
Y: 0.500 0.500 0.000

[6]
A geometry-optimized Ca2Y structure. Source: the Alexandria database, functional GGA-PBE.

Computed properties:
**E_form**: 0.5 eV/f.u.
**Magnetization**: 0.63 μB/f.u.
**DFT total energy**: -0.122 Ha/atom

Cell lengths 17.573, 17.573, 17.573 Å; angles 167.98, 167.98, 17.03 degrees
Fractional positions:
Ca: 0.298 0.548 0.750
Ca: 0.452 0.702 0.750
Ca: 0.548 0.298 0.250
Ca: 0.702 0.452 0.250
Y: 0.125 0.875 0.250
Y: 0.875 0.125 0.750

[7]
A geometry-optimized Ca2Y structure. Source: the Alexandria database, functional GGA-PBE.

Computed properties:
**E_form**: 0.6 eV/f.u.
**Magnetization**: 0.56 μB/f.u.
**DFT total energy**: -0.120 Ha/atom

Cell lengths 6.044, 6.044, 7.180 Å; angles 90.00, 90.00, 120.00 degrees
Fractional positions:
Ca: 0.000 0.000 0.000
Ca: 0.000 0.000 0.500
Ca: 0.333 0.667 0.250
Ca: 0.667 0.333 0.750
Y: 0.333 0.667 0.750
Y: 0.667 0.333 0.250

[8]
A geometry-optimized Ca6Y structure. Source: the Alexandria database, functional GGA-PBE.

Computed properties:
**E_form**: 8.4 eV/f.u.
**Magnetization**: 0.00 μB/f.u.
**DFT total energy**: -0.053 Ha/atom

Cell lengths 7.682, 7.682, 7.682 Å; angles 109.47, 109.47, 109.47 degrees
Fractional positions:
Ca: 0.250 0.500 0.750
Ca: 0.250 0.750 0.500
Ca: 0.500 0.250 0.750
Ca: 0.500 0.750 0.250
Ca: 0.750 0.250 0.500
Ca: 0.750 0.500 0.250
Y: 0.000 0.000 0.000